[1]
# PmPa2Rh3

A geometry-optimized PmPa2Rh3 structure (GGA-PBE, Alexandria via LeMat-Bulk).

Values from the calculation:
* space group: No. 63

a = 5.6211 Å, b = 5.6211 Å, c = 10.3700 Å
α = 90.00°, β = 90.00°, γ = 126.66°
Positions (direct):
Pm  0.2218  0.7782  0.7500
Pm  0.7782  0.2218  0.2500
Pa  0.0978  0.9022  0.2500
Pa  0.5000  0.5000  0.0000
Pa  0.5000  0.5000  0.5000
Pa  0.9022  0.0978  0.7500
Rh  0.1935  0.8065  0.0369
Rh  0.1935  0.8065  0.4631
Rh  0.4520  0.5480  0.2500
Rh  0.5480  0.4520  0.7500
Rh  0.8065  0.1935  0.5369
Rh  0.8065  0.1935  0.9631

[2]
# PmPaRh2

A geometry-optimized PmPaRh2 structure (GGA-PBE, Alexandria via LeMat-Bulk).

Values from the calculation:
* space group: No. 225
* distance to the lowest polymorph of the same formula: 246.2 meV per atom

a = 4.9163 Å, b = 4.9163 Å, c = 4.9163 Å
α = 60.00°, β = 60.00°, γ = 60.00°
Positions (direct):
Pm  0.0000  0.0000  0.0000
Pa  0.5000  0.5000  0.5000
Rh  0.2500  0.2500  0.2500
Rh  0.7500  0.7500  0.7500

[3]
# Pm3PaRh3

A geometry-optimized Pm3PaRh3 structure (GGA-PBE, Alexandria via LeMat-Bulk).

Values from the calculation:
* space group: No. 62

a = 12.4252 Å, b = 4.1818 Å, c = 13.5244 Å
α = 90.00°, β = 90.00°, γ = 90.00°
Positions (direct):
Pm  0.0591  0.2500  0.0981
Pm  0.1798  0.7500  0.5106
Pm  0.2463  0.7500  0.8012
Pm  0.2537  0.2500  0.3012
Pm  0.3202  0.2500  0.0106
Pm  0.4409  0.7500  0.5981
Pm  0.5591  0.2500  0.4019
Pm  0.6798  0.7500  0.9894
Pm  0.7463  0.7500  0.6988
Pm  0.7537  0.2500  0.1988
Pm  0.8202  0.2500  0.4894
Pm  0.9409  0.7500  0.9019
Pa  0.0344  0.2500  0.6856
Pa  0.4656  0.7500  0.1856
Pa  0.5344  0.2500  0.8144
Pa  0.9656  0.7500  0.3144
Rh  0.0433  0.2500  0.4170
Rh  0.0988  0.2500  0.8711
Rh  0.2458  0.2500  0.6514
Rh  0.2542  0.7500  0.1514
Rh  0.4012  0.7500  0.3711
Rh  0.4567  0.7500  0.9170
Rh  0.5433  0.2500  0.0830
Rh  0.5988  0.2500  0.6289
Rh  0.7458  0.2500  0.8486
Rh  0.7542  0.7500  0.3486
Rh  0.9012  0.7500  0.1289
Rh  0.9567  0.7500  0.5830

[4]
# PmPaRh3

A geometry-optimized PmPaRh3 structure (GGA-PBE, Alexandria via LeMat-Bulk).

Values from the calculation:
* space group: No. 8
* distance to the lowest polymorph of the same formula: 150.4 meV per atom

a = 5.8681 Å, b = 5.8681 Å, c = 8.5150 Å
α = 110.20°, β = 110.20°, γ = 60.00°
Positions (direct):
Pm  0.0000  0.0000  0.0000
Pm  0.2410  0.2410  0.7240
Pa  0.6281  0.6281  0.8843
Pa  0.7911  0.7911  0.3731
Rh  0.0669  0.5285  0.1239
Rh  0.2071  0.7140  0.6366
Rh  0.5285  0.0669  0.1239
Rh  0.5287  0.5287  0.1239
Rh  0.7140  0.2071  0.6366
Rh  0.7141  0.7141  0.6365

Computed magnetization (μB/atom) in order:
0.00; 0.08; 0.00; 0.00
Computed E_form (meV per atom) in order:
-595; -583; -598; -577
Computed final energy (eV/atom) in order:
-8.228; -7.821; -7.142; -7.837